Record 1
DFT (GGA-PBE) results for a geometry-optimized Na2LaPuF8 structure.

Cell lengths 4.0044, 8.0254, 5.6517 Å; angles 90.00, 90.08, 90.00 degrees
Last column: nearest neighbours and their distance in Å.
Element x y z (fractional)
1 Na 0.0000 0.2463 0.0000  8 F 2.48-2.51
2 Na 0.0000 0.7537 0.0000  8 F 2.48-2.51
3 La 0.5000 0.5000 0.5000  8 F 2.42-2.44
4 Pu 0.5000 0.0000 0.5000  8 F 2.40-2.41
5 F 0.0006 0.0000 0.7360  2 Pu 2.41, 2 Na 2.48, 1 F 2.67
6 F 0.0006 0.5000 0.7411  2 La 2.42, 2 Na 2.51
7 F 0.4993 0.2468 0.2617  1 Pu 2.40, 1 La 2.44, 2 Na 2.49
8 F 0.4993 0.7532 0.2617  1 Pu 2.40, 1 La 2.44, 2 Na 2.49
9 F 0.5007 0.2468 0.7383  1 Pu 2.40, 1 La 2.44, 2 Na 2.49
10 F 0.5007 0.7532 0.7383  1 Pu 2.40, 1 La 2.44, 2 Na 2.49
11 F 0.9994 0.0000 0.2640  2 Pu 2.41, 2 Na 2.48, 1 F 2.67
12 F 0.9994 0.5000 0.2589  2 La 2.42, 2 Na 2.51

---

Record 2
DFT (GGA-PBE) results for a geometry-optimized NaLaSF2 structure.

Cell lengths 4.6384, 4.6384, 5.7293 Å; angles 90.00, 90.00, 90.00 degrees
Last column: nearest neighbours and their distance in Å.
Element x y z (fractional)
1 Na 0.0000 0.0000 0.0000  4 S 3.28
2 La 0.5000 0.5000 0.5000  4 F 2.32
3 S 0.5000 0.5000 0.0000  2 La 2.86
4 F 0.0000 0.5000 0.5000  2 La 2.32
5 F 0.5000 0.0000 0.5000  2 La 2.32

---

Record 3
DFT (GGA-PBE) results for a geometry-optimized NaLaSeF2 structure.

Cell lengths 4.6369, 4.6369, 6.0212 Å; angles 90.00, 90.00, 90.00 degrees
Last column: nearest neighbours and their distance in Å.
Element x y z (fractional)
1 Na 0.0000 0.0000 0.0000  4 Se 3.28
2 La 0.5000 0.5000 0.5000  4 F 2.32
3 Se 0.5000 0.5000 0.0000  2 La 3.01, 4 Na 3.28
4 F 0.0000 0.5000 0.5000  2 La 2.32
5 F 0.5000 0.0000 0.5000  2 La 2.32

---

For reference, energy relative to the elements, uncorrected by record: -3.536; -2.797; -2.793 eV/atom.
For reference, DOS at the Fermi energy by record: 10.6; 0.0; 0.0 states/eV per cell.